Arrangement w

Material: KGdNiS3
Method: DFT, PBE
State: optimized geometry

POSCAR file:
```
KGdNiS3
1.0
8.723 0.000 0.000
0.000 3.941 0.000
-2.666 0.000 8.892
K Gd Ni S
2 2 2 6
Direct
0.202 0.250 0.234
0.798 0.750 0.766
0.327 0.750 0.857
0.673 0.250 0.143
0.078 0.250 0.595
0.922 0.750 0.405
0.106 0.250 0.847
0.177 0.750 0.539
0.457 0.750 0.161
0.543 0.250 0.839
0.823 0.250 0.461
0.894 0.750 0.153
```

Space-group type: P2_1/m, No. 11


Arrangement x

Material: KGdNiS3
Method: DFT, PBE
State: optimized geometry

POSCAR file:
```
KGdNiS3
1.0
1.982 -6.976 0.000
1.982 6.976 0.000
0.000 0.000 10.521
K Gd Ni S
2 2 2 6
Direct
0.244 0.756 0.750
0.756 0.244 0.250
0.500 0.500 0.000
0.500 0.500 0.500
0.031 0.969 0.250
0.969 0.031 0.750
0.125 0.875 0.074
0.125 0.875 0.426
0.444 0.556 0.250
0.556 0.444 0.750
0.875 0.125 0.574
0.875 0.125 0.926
```

Space-group type: Cmcm, No. 63


Which structure loses on stability? arrangement x does.


Arrangement w

Material: K2Gd2O5
Method: DFT, PBE
State: optimized geometry

POSCAR file:
```
K2Gd2O5
1.0
4.319 0.000 0.000
0.000 4.319 0.000
0.000 0.000 9.128
K Gd O
2 2 5
Direct
0.000 0.000 0.000
0.000 0.000 0.500
0.500 0.500 0.236
0.500 0.500 0.764
0.000 0.500 0.298
0.000 0.500 0.702
0.500 0.000 0.298
0.500 0.000 0.702
0.500 0.500 0.000
```

Space-group type: P4/mmm, No. 123


Arrangement x

Material: K2Gd2O5
Method: DFT, PBE
State: optimized geometry

POSCAR file:
```
K2Gd2O5
1.0
4.364 0.000 0.000
0.000 4.364 0.000
0.000 0.000 7.063
K Gd O
2 2 5
Direct
0.000 0.000 0.184
0.000 0.000 0.816
0.500 0.500 0.000
0.500 0.500 0.500
0.000 0.000 0.500
0.000 0.500 0.213
0.000 0.500 0.787
0.500 0.000 0.213
0.500 0.000 0.787
```

Space-group type: P4/mmm, No. 123


Which structure loses on stability? arrangement x does.


Arrangement w

Material: KPrGd
Method: DFT, PBE
State: optimized geometry

POSCAR file:
```
KPrGd
1.0
6.547 0.000 0.000
-3.274 5.670 0.000
0.000 0.000 3.258
K Pr Gd
1 1 1
Direct
0.000 0.000 0.000
0.667 0.333 0.000
0.333 0.667 0.000
```

Space-group type: P-6m2, No. 187


Arrangement x

Material: KPrGd
Method: DFT, PBE
State: optimized geometry

POSCAR file:
```
KPrGd
1.0
0.000 4.198 4.198
4.198 0.000 4.198
4.198 4.198 0.000
K Pr Gd
1 1 1
Direct
0.000 0.000 0.000
0.750 0.750 0.750
0.500 0.500 0.500
```

Space-group type: F-43m, No. 216


Which structure loses on stability? arrangement x does.